1.
ZrBe6Fe2 PBE-GGA optimized geometry; space-group type = No. 71; total magnetic moment = 1.391 μB/f.u.; Fermi-level density of states = 0.488 states/eV/atom; ΔE_f = 0.01 eV per atom
1.0
-2.678 -0.787 1.346
-2.805 -3.545 -4.088
0.236 -6.071 0.487
Be Zr Fe
6 1 2
direct
0.315 0.401 0.970 Be
0.685 0.030 0.599 Be
0.315 0.970 0.401 Be
0.685 0.599 0.030 Be
0.500 0.342 0.658 Be
0.500 0.658 0.342 Be
0.000 0.000 0.000 Zr
0.132 0.368 0.368 Fe
0.868 0.632 0.632 Fe

---

2.
ZrBeFe PBE-GGA optimized geometry; space-group type = No. 187; total magnetic moment = 0.000 μB/f.u.; Fermi-level density of states = 0.574 states/eV/atom; E above lowest polymorph = 103 meV per atom; ΔE_f = -0.09 eV per atom
1.0
3.836 0.000 0.000
-1.918 3.322 0.000
0.000 0.000 3.282
Zr Fe Be
1 1 1
direct
0.333 0.667 0.667 Zr
0.667 0.333 0.167 Fe
0.000 0.000 0.167 Be

---

3.
ZrBe2Fe PBE-GGA optimized geometry; space-group type = No. 12; total magnetic moment = 0.001 μB/f.u.; Fermi-level density of states = 0.749 states/eV/atom; E above lowest polymorph = 0 meV per atom; ΔE_f = -0.12 eV per atom
1.0
3.614 -0.318 0.232
2.073 2.978 0.232
1.610 0.753 4.565
Zr Be Fe
1 2 1
direct
0.250 0.250 0.250 Zr
0.452 0.452 0.643 Be
0.048 0.048 0.857 Be
0.750 0.750 0.750 Fe

---

4.
Zr2Be2Fe PBE-GGA optimized geometry; space-group type = No. 127; total magnetic moment = 0.000 μB/f.u.; Fermi-level density of states = 1.091 states/eV/atom; ΔE_f = -0.07 eV per atom
1.0
6.392 0.000 0.000
0.000 6.392 0.000
0.000 0.000 3.559
Be Zr Fe
4 4 2
direct
0.882 0.618 0.000 Be
0.118 0.382 0.000 Be
0.618 0.118 0.000 Be
0.382 0.882 0.000 Be
0.318 0.182 0.500 Zr
0.182 0.682 0.500 Zr
0.818 0.318 0.500 Zr
0.682 0.818 0.500 Zr
0.500 0.500 0.000 Fe
0.000 0.000 0.000 Fe

---

5.
ZrBe2Fe PBE-GGA optimized geometry; space-group type = No. 44; total magnetic moment = 0.332 μB/f.u.; Fermi-level density of states = 0.542 states/eV/atom; E above lowest polymorph = 193 meV per atom; ΔE_f = 0.08 eV per atom
1.0
4.505 -0.026 -0.029
1.387 4.287 0.029
-2.591 -2.621 2.591
Be Fe Zr
2 1 1
direct
0.779 0.279 0.500 Be
0.963 0.963 0.000 Be
0.517 0.517 0.000 Fe
0.240 0.740 0.500 Zr

---

6.
ZrBe2Fe PBE-GGA optimized geometry; space-group type = No. 99; total magnetic moment = 0.390 μB/f.u.; Fermi-level density of states = 1.149 states/eV/atom; E above lowest polymorph = 223 meV per atom; ΔE_f = 0.10 eV per atom
1.0
-1.139 -1.772 1.948
2.220 0.496 1.749
-3.028 4.704 2.509
Zr Fe Be
1 1 2
direct
0.500 0.500 0.727 Zr
0.000 0.000 0.439 Fe
0.500 0.500 0.260 Be
0.000 0.000 0.075 Be

---

7.
Zr2BeFe PBE-GGA optimized geometry; space-group type = No. 6; total magnetic moment = 0.000 μB/f.u.; Fermi-level density of states = 0.947 states/eV/atom; ΔE_f = -0.16 eV per atom
1.0
-3.020 2.308 0.763
-1.685 -2.648 1.341
1.091 -0.267 5.124
Be Fe Zr
1 1 2
direct
0.000 0.691 0.492 Be
0.500 0.564 0.748 Fe
0.500 0.261 0.351 Zr
0.000 0.984 0.908 Zr

---

8.
Zr2BeFe PBE-GGA optimized geometry; space-group type = No. 8; total magnetic moment = 0.019 μB/f.u.; Fermi-level density of states = 1.205 states/eV/atom; ΔE_f = 0.02 eV per atom
1.0
5.291 0.004 0.001
4.373 2.979 0.001
1.136 0.351 4.110
Zr Fe Be
2 1 1
direct
0.767 0.767 0.703 Zr
0.996 0.996 0.027 Zr
0.199 0.199 0.264 Fe
0.538 0.538 0.507 Be